Entry 1:
{"formula": "Mg6GaSn", "functional": "PBE", "state": "optimized geometry", "formation_enthalpy_0k_kj_per_mol_atoms": -5.8, "de_polymorph_mev_per_atom": 42.0, "lattice_angstrom": [[1.431, 2.530, -5.725], [-3.058, 3.401, 4.505], [4.439, 1.591, 1.812]], "species": ["Sn", "Mg", "Mg", "Mg", "Mg", "Mg", "Mg", "Ga"], "fractional_positions": [[0.158, 0.842, 0.000], [0.336, 0.166, 0.500], [0.834, 0.664, 0.500], [0.833, 0.167, 0.500], [0.665, 0.335, 0.000], [0.654, 0.836, 0.000], [0.164, 0.346, 0.000], [0.356, 0.644, 0.500]]}

=====

Entry 2:
{"formula": "Mg2Ga6Sn", "functional": "PBE", "state": "optimized geometry", "formation_enthalpy_0k_kj_per_mol_atoms": 0.2, "de_polymorph_mev_per_atom": 48.2, "lattice_angstrom": [[-2.460, 1.298, -1.137], [-4.506, 0.443, 6.775], [1.148, 7.598, 2.709]], "species": ["Ga", "Ga", "Ga", "Ga", "Ga", "Ga", "Sn", "Mg", "Mg"], "fractional_positions": [[0.400, 0.953, 0.376], [0.553, 0.633, 0.366], [0.400, 0.376, 0.953], [0.553, 0.366, 0.633], [0.718, 0.626, 0.046], [0.718, 0.046, 0.626], [0.550, 0.001, 0.001], [0.911, 0.675, 0.675], [0.197, 0.325, 0.325]]}

=====

Entry 3:
{"formula": "Mg2Ga2Sn3", "functional": "PBE", "state": "optimized geometry", "formation_enthalpy_0k_kj_per_mol_atoms": -0.5, "lattice_angstrom": [[-2.952, 1.909, -3.359], [-2.491, -2.071, 1.013], [-0.320, 6.959, 7.755]], "species": ["Sn", "Sn", "Sn", "Ga", "Ga", "Mg", "Mg"], "fractional_positions": [[0.698, 0.198, 0.395], [0.302, 0.802, 0.605], [0.000, 0.000, 0.000], [0.433, 0.433, 0.867], [0.567, 0.567, 0.133], [0.144, 0.644, 0.289], [0.856, 0.356, 0.711]]}

=====

Entry 4:
{"formula": "Mg6GaSn5", "functional": "PBE", "state": "optimized geometry", "formation_enthalpy_0k_kj_per_mol_atoms": -12.0, "lattice_angstrom": [[-4.020, 1.379, -3.324], [-3.439, -5.426, 1.908], [-6.590, 5.216, 2.955]], "species": ["Mg", "Mg", "Mg", "Mg", "Mg", "Mg", "Sn", "Sn", "Sn", "Sn", "Sn", "Ga"], "fractional_positions": [[0.842, 0.244, 0.326], [0.500, 0.755, 0.000], [0.842, 0.756, 0.326], [0.158, 0.756, 0.674], [0.158, 0.244, 0.674], [0.500, 0.245, 0.000], [0.000, 0.500, 0.000], [0.334, 0.500, 0.338], [0.666, 0.500, 0.662], [0.655, 0.000, 0.671], [0.345, 0.000, 0.329], [0.000, 0.000, 0.000]]}

=====

Entry 5:
{"formula": "Mg6GaSn", "functional": "PBE", "state": "optimized geometry", "formation_enthalpy_0k_kj_per_mol_atoms": -1.0, "de_polymorph_mev_per_atom": 91.3, "lattice_angstrom": [[4.970, 0.027, 0.025], [2.490, 5.259, 0.311], [2.466, 2.097, 7.748]], "species": ["Mg", "Mg", "Mg", "Mg", "Mg", "Mg", "Sn", "Ga"], "fractional_positions": [[0.438, 0.922, 0.204], [0.111, 0.481, 0.298], [0.223, 0.933, 0.623], [0.777, 0.067, 0.377], [0.562, 0.078, 0.796], [0.889, 0.519, 0.702], [0.000, 0.000, 0.000], [0.500, 0.500, 0.500]]}

=====

Entry 6:
{"formula": "MgGa2Sn2", "functional": "PBE", "state": "optimized geometry", "formation_enthalpy_0k_kj_per_mol_atoms": 5.8, "de_polymorph_mev_per_atom": 60.2, "lattice_angstrom": [[-4.585, 6.581, 1.129], [-5.672, -3.116, -4.870], [-1.596, -1.607, 2.887]], "species": ["Sn", "Sn", "Sn", "Sn", "Mg", "Mg", "Ga", "Ga", "Ga", "Ga"], "fractional_positions": [[0.355, 0.855, 0.000], [0.645, 0.145, 0.000], [0.855, 0.645, 0.000], [0.145, 0.355, 0.000], [0.500, 0.500, 0.000], [0.000, 0.000, 0.000], [0.651, 0.849, 0.500], [0.849, 0.349, 0.500], [0.349, 0.151, 0.500], [0.151, 0.651, 0.500]]}

=====

Entry 7:
{"formula": "Mg7Ga3Sn", "functional": "PBE", "state": "optimized geometry", "formation_enthalpy_0k_kj_per_mol_atoms": -3.9, "lattice_angstrom": [[5.499, -0.066, -0.084], [-2.619, 6.810, 0.213], [-2.619, -1.445, 6.659]], "species": ["Mg", "Mg", "Mg", "Mg", "Mg", "Mg", "Mg", "Ga", "Ga", "Ga", "Sn"], "fractional_positions": [[0.321, 0.606, 0.039], [0.000, 0.500, 0.500], [0.321, 0.039, 0.606], [0.679, 0.961, 0.394], [0.824, 0.828, 0.828], [0.176, 0.172, 0.172], [0.679, 0.394, 0.961], [0.000, 0.771, 0.229], [0.000, 0.229, 0.771], [0.500, 0.000, 0.000], [0.500, 0.500, 0.500]]}

=====

Entry 8:
{"formula": "MgGa2Sn2", "functional": "PBE", "state": "optimized geometry", "formation_enthalpy_0k_kj_per_mol_atoms": 3.7, "de_polymorph_mev_per_atom": 38.4, "lattice_angstrom": [[3.854, 0.000, 0.000], [0.000, 3.854, 0.000], [1.927, 1.927, 8.072]], "species": ["Ga", "Ga", "Sn", "Sn", "Mg"], "fractional_positions": [[0.750, 0.250, 0.500], [0.250, 0.750, 0.500], [0.606, 0.606, 0.788], [0.394, 0.394, 0.212], [0.000, 0.000, 0.000]]}